LiH2ClO PBE optimized geometry; total energy = -4.45 eV/atom
1.0
5.476 0.044 0.000
-0.090 5.475 0.000
0.000 0.000 7.638
H Cl O Li
8 4 4 4
direct
0.085 0.715 0.073 H
0.285 0.915 0.073 H
0.085 0.715 0.427 H
0.915 0.285 0.927 H
0.285 0.915 0.427 H
0.915 0.285 0.573 H
0.715 0.085 0.927 H
0.715 0.085 0.573 H
0.291 0.229 0.250 Cl
0.709 0.771 0.750 Cl
0.771 0.709 0.250 Cl
0.229 0.291 0.750 Cl
0.766 0.234 0.991 O
0.234 0.766 0.491 O
0.766 0.234 0.509 O
0.234 0.766 0.009 O
0.174 0.826 0.750 Li
0.500 0.500 0.000 Li
0.500 0.500 0.500 Li
0.826 0.174 0.250 Li